Record 1
Compound: Pm2PrNi
Source: the Alexandria database
Functional: PBE-GGA
Structure: optimized geometry

POSCAR file:
```
Pm2PrNi
1.0
3.777 -0.147 0.000
-1.651 6.155 0.000
0.000 0.000 9.918
Ni Pr Pm
2 2 4
direct
0.271 0.542 0.750
0.729 0.458 0.250
0.416 0.832 0.250
0.584 0.168 0.750
0.862 0.724 0.569
0.138 0.276 0.069
0.862 0.724 0.931
0.138 0.276 0.431
```

- E above lowest polymorph (meV/atom) = 21.5
- DOS at the Fermi energy (states/eV/atom) = 1.43
- energy of formation (meV/atom) = -156
- E (eV for the cell shown) = -41.37
- M_tot (μB per formula unit) = 0.000

Record 2
Compound: PmPrNi2
Source: the Alexandria database
Functional: PBE-GGA
Structure: optimized geometry

POSCAR file:
```
PmPrNi2
1.0
-1.161 0.465 3.841
-1.356 -3.175 2.098
5.338 -2.204 4.005
Pr Pm Ni
1 1 2
direct
0.500 0.500 0.500
0.000 0.000 0.000
0.252 0.252 0.245
0.748 0.748 0.755
```

- E above lowest polymorph (meV/atom) = 171.2
- DOS at the Fermi energy (states/eV/atom) = 0.55
- energy of formation (meV/atom) = -150
- E (eV for the cell shown) = -21.69
- M_tot (μB per formula unit) = 0.000

Record 3
Compound: Pm2PrNi
Source: the Alexandria database
Functional: PBE-GGA
Structure: optimized geometry

POSCAR file:
```
Pm2PrNi
1.0
-2.671 -2.168 0.838
2.318 -2.393 1.198
-0.427 3.711 8.238
Ni Pm Pr
1 2 1
direct
0.500 0.500 0.000
0.000 0.000 0.819
0.000 0.000 0.181
0.500 0.500 0.500
```

- E above lowest polymorph (meV/atom) = 75.0
- DOS at the Fermi energy (states/eV/atom) = 1.29
- energy of formation (meV/atom) = -102
- E (eV for the cell shown) = -20.47
- M_tot (μB per formula unit) = 0.000

Record 4
Compound: PmPr3Ni2
Source: the Alexandria database
Functional: PBE-GGA
Structure: optimized geometry

POSCAR file:
```
PmPr3Ni2
1.0
-3.927 0.572 -1.271
-4.549 0.352 7.380
-1.243 10.284 1.639
Pr Ni Pm
6 4 2
direct
0.687 0.687 0.939
0.188 0.188 0.435
0.812 0.812 0.565
0.061 0.068 0.811
0.313 0.313 0.061
0.939 0.932 0.189
0.874 0.380 0.871
0.624 0.129 0.623
0.126 0.620 0.129
0.376 0.871 0.377
0.562 0.564 0.313
0.438 0.436 0.687
```

- E above lowest polymorph (meV/atom) = 88.3
- DOS at the Fermi energy (states/eV/atom) = 1.19
- energy of formation (meV/atom) = -111
- E (eV for the cell shown) = -62.64
- M_tot (μB per formula unit) = 0.000

Record 5
Compound: PmPr3Ni
Source: the Alexandria database
Functional: PBE-GGA
Structure: optimized geometry

POSCAR file:
```
PmPr3Ni
1.0
3.738 0.000 0.614
1.802 6.131 0.714
-0.251 -0.475 13.210
Ni Pm Pr
2 2 6
direct
0.754 0.355 0.137
0.455 0.317 0.772
0.104 0.514 0.278
0.221 0.554 0.004
0.435 0.612 0.518
0.776 0.687 0.762
0.778 0.056 0.388
0.991 0.112 0.907
0.110 0.152 0.628
0.438 0.977 0.148
```

- E above lowest polymorph (meV/atom) = 0.0
- DOS at the Fermi energy (states/eV/atom) = 1.35
- energy of formation (meV/atom) = -113
- E (eV for the cell shown) = -50.87
- M_tot (μB per formula unit) = 0.000

Record 6
Compound: Pm6Pr2Ni
Source: the Alexandria database
Functional: PBE-GGA
Structure: optimized geometry

POSCAR file:
```
Pm6Pr2Ni
1.0
3.661 0.000 0.337
0.000 9.482 0.000
-0.818 -4.741 8.711
Pm Pr Ni
6 2 1
direct
0.500 0.214 0.000
0.001 0.333 0.335
0.001 0.002 0.335
0.999 0.667 0.665
0.500 0.786 0.000
0.999 0.998 0.665
0.498 0.665 0.331
0.502 0.335 0.669
0.000 0.000 0.000
```

- DOS at the Fermi energy (states/eV/atom) = 1.37
- energy of formation (meV/atom) = 123
- E (eV for the cell shown) = -42.73
- M_tot (μB per formula unit) = 0.000

Record 7
Compound: Pm2PrNi
Source: the Alexandria database
Functional: PBE-GGA
Structure: optimized geometry

POSCAR file:
```
Pm2PrNi
1.0
3.891 0.000 0.000
1.945 3.370 0.000
1.945 1.123 9.265
Ni Pm Pr
1 2 1
direct
0.666 0.666 0.002
0.274 0.274 0.177
0.059 0.059 0.824
0.501 0.501 0.497
```

- E above lowest polymorph (meV/atom) = 105.8
- DOS at the Fermi energy (states/eV/atom) = 1.15
- energy of formation (meV/atom) = -71
- E (eV for the cell shown) = -20.35
- M_tot (μB per formula unit) = 0.000

Record 8
Compound: PmPrNiPt
Source: the Alexandria database
Functional: PBE-GGA
Structure: optimized geometry

POSCAR file:
```
PmPrNiPt
1.0
5.044 0.000 0.000
2.522 4.368 0.000
2.522 1.456 4.119
Ni Pm Pr Pt
1 1 1 1
direct
0.750 0.750 0.750
0.000 0.000 0.000
0.500 0.500 0.500
0.250 0.250 0.250
```

- E above lowest polymorph (meV/atom) = 108.2
- DOS at the Fermi energy (states/eV/atom) = 1.11
- energy of formation (meV/atom) = -627
- E (eV for the cell shown) = -23.86
- M_tot (μB per formula unit) = 0.000